{
  "formula": "PmNdGeAu",
  "functional": "PBE",
  "state": "relaxed",
  "cell": [[5.229, 0.000, 0.000], [2.614, 4.528, 0.000], [2.614, 1.509, 4.269]],
  "species": ["Au", "Ge", "Pm", "Nd"],
  "fractional_positions": [[0.250, 0.250, 0.250], [0.750, 0.750, 0.750], [0.000, 0.000, 0.000], [0.500, 0.500, 0.500]],
  "delta_e_f_ev_per_atom": -0.7248,
  "vol_a3_per_atom": 25.27
}

***

{
  "formula": "PmNdGeAu",
  "functional": "PBE",
  "state": "relaxed",
  "cell": [[-2.180, 0.144, 3.573], [3.077, -2.515, 1.979], [3.890, 4.550, -0.265]],
  "species": ["Ge", "Au", "Nd", "Pm"],
  "fractional_positions": [[0.584, 0.500, 0.168], [0.418, 0.000, 0.836], [0.137, 0.000, 0.274], [0.860, 0.500, 0.721]],
  "delta_e_f_ev_per_atom": -0.8038,
  "vol_a3_per_atom": 26.10
}